No. 1
As2Pd | PBE | optimized geometry

Its total energy is -4.401 eV/atom.

The space group is Fd-3m (No. 227, origin choice 2) and the conventional cell measures 7.651, 7.651 and 7.651 Å, with angles of 90.00, 90.00 and 90.00 degrees. The asymmetric unit holds As at (0.000, 0.000, 0.000) and Pd at (0.125, 0.125, 0.625).

=====

No. 2
PrSmAs2Pd2 | PBE | optimized geometry

Its total energy is -6.042 eV/atom. As for the size of the total moment: 0.00 μB/cell.

The space group is P3m1 (No. 156) and the conventional cell measures 4.3799, 4.3799 and 7.7673 Å, with angles of 90.00, 90.00 and 120.00 degrees. The asymmetric unit holds Pr at (0.0000, 0.0000, 0.0000), Sm at (0.0000, 0.0000, 0.5001), As at (0.3333, 0.6667, 0.7553), As at (0.6667, 0.3333, 0.2632), Pd at (0.3333, 0.6667, 0.2467) and Pd at (0.6667, 0.3333, 0.7365).

=====

No. 3
AsPdPt2 | PBE | optimized geometry

Its total energy is -5.540 eV/atom. As for the size of the total moment: 0.02 μB/cell.

The space group is F-43m (No. 216) and the conventional cell measures 6.344, 6.344 and 6.344 Å, with angles of 90.00, 90.00 and 90.00 degrees. The asymmetric unit holds As at (0.000, 0.000, 0.000), Pd at (0.250, 0.250, 0.250), Pt at (0.000, 0.000, 0.500) and Pt at (0.250, 0.250, 0.750).

=====

No. 4
Pu3As4Pd4 | PBE | optimized geometry

Its total energy is -8.272 eV/atom. As for the size of the total moment: 30.75 μB/cell.

The space group is Immm (No. 71) and the conventional cell measures 4.110, 7.544 and 13.654 Å, with angles of 90.00, 90.00 and 90.00 degrees. The asymmetric unit holds Pu at (0.000, 0.000, 0.000), Pu at (0.000, 0.500, 0.111), As at (0.000, 0.000, 0.223), As at (0.000, 0.223, 0.500) and Pd at (0.000, 0.305, 0.319).